No. 1
# YBe2W, relaxed, DFT PBE
data_YBe2W
_chemical_formula_sum 'Y4 Be8 W4'
_symmetry_space_group_name_H-M 'P 1'
_symmetry_Int_Tables_number 1
_cell_length_a 6.355
_cell_length_b 6.355
_cell_length_c 6.355
_cell_angle_alpha 90.00
_cell_angle_beta 90.00
_cell_angle_gamma 90.00
loop_
_symmetry_equiv_pos_as_xyz
'x,y,z'
loop_
_atom_site_label
_atom_site_fract_x
_atom_site_fract_y
_atom_site_fract_z
Y1 0.000 0.000 0.000
Y2 0.000 0.500 0.500
Y3 0.500 0.000 0.500
Y4 0.500 0.500 0.000
Be1 0.000 0.000 0.500
Be2 0.000 0.500 0.000
Be3 0.250 0.250 0.250
Be4 0.250 0.750 0.750
Be5 0.500 0.000 0.000
Be6 0.500 0.500 0.500
Be7 0.750 0.250 0.750
Be8 0.750 0.750 0.250
W1 0.250 0.250 0.750
W2 0.250 0.750 0.250
W3 0.750 0.250 0.250
W4 0.750 0.750 0.750
# - E_tot (eV per atom) = -5.765
# - size of the total moment (μB/f.u.) = 0.03

***

No. 2
# RePPtO, relaxed, DFT PBE
data_RePPtO
_chemical_formula_sum 'Re2 P2 Pt2 O2'
_symmetry_space_group_name_H-M 'P 1'
_symmetry_Int_Tables_number 1
_cell_length_a 4.338
_cell_length_b 4.338
_cell_length_c 5.459
_cell_angle_alpha 90.00
_cell_angle_beta 90.00
_cell_angle_gamma 90.00
loop_
_symmetry_equiv_pos_as_xyz
'x,y,z'
loop_
_atom_site_label
_atom_site_fract_x
_atom_site_fract_y
_atom_site_fract_z
Re1 0.250 0.750 0.000
Re2 0.750 0.250 0.000
P1 0.250 0.250 0.184
P2 0.750 0.750 0.816
Pt1 0.250 0.250 0.624
Pt2 0.750 0.750 0.376
O1 0.250 0.750 0.500
O2 0.750 0.250 0.500
# - energy relative to the lowest polymorph listed for this composition (eV/atom) = 0.513
# - size of the total moment (μB/f.u.) = 0.00

***

No. 3
# Cu5Ag4, relaxed, DFT PBE
data_Cu5Ag4
_chemical_formula_sum 'Cu5 Ag4'
_symmetry_space_group_name_H-M 'P 1'
_symmetry_Int_Tables_number 1
_cell_length_a 4.791
_cell_length_b 4.791
_cell_length_c 8.227
_cell_angle_alpha 107.92
_cell_angle_beta 107.92
_cell_angle_gamma 47.63
loop_
_symmetry_equiv_pos_as_xyz
'x,y,z'
loop_
_atom_site_label
_atom_site_fract_x
_atom_site_fract_y
_atom_site_fract_z
Cu1 0.000 0.000 0.000
Cu2 0.327 0.327 0.105
Cu3 0.333 0.333 0.444
Cu4 0.667 0.667 0.556
Cu5 0.673 0.673 0.895
Ag1 0.000 0.000 0.332
Ag2 0.000 0.000 0.668
Ag3 0.334 0.334 0.785
Ag4 0.666 0.666 0.215
# - energy relative to the lowest polymorph listed for this composition (eV/atom) = 0.062
# - energy of formation from the pure elements (eV per atom) = 0.103

***

No. 4
# PaB2Te2, relaxed, DFT PBE
data_PaB2Te2
_chemical_formula_sum 'Pa2 B4 Te4'
_symmetry_space_group_name_H-M 'P 1'
_symmetry_Int_Tables_number 1
_cell_length_a 5.311
_cell_length_b 5.311
_cell_length_c 6.953
_cell_angle_alpha 90.00
_cell_angle_beta 90.00
_cell_angle_gamma 90.00
loop_
_symmetry_equiv_pos_as_xyz
'x,y,z'
loop_
_atom_site_label
_atom_site_fract_x
_atom_site_fract_y
_atom_site_fract_z
Pa1 0.000 0.000 0.000
Pa2 0.500 0.500 0.500
B1 0.000 0.000 0.376
B2 0.000 0.000 0.624
B3 0.500 0.500 0.124
B4 0.500 0.500 0.876
Te1 0.000 0.500 0.250
Te2 0.000 0.500 0.750
Te3 0.500 0.000 0.250
Te4 0.500 0.000 0.750
# - energy relative to the lowest polymorph listed for this composition (eV/atom) = 0.000
# - size of the total moment (μB/f.u.) = 0.00

***

No. 5
# MgZrTcSb, relaxed, DFT PBE
data_MgZrTcSb
_chemical_formula_sum 'Mg4 Zr4 Tc4 Sb4'
_symmetry_space_group_name_H-M 'P 1'
_symmetry_Int_Tables_number 1
_cell_length_a 6.724
_cell_length_b 6.724
_cell_length_c 6.724
_cell_angle_alpha 90.00
_cell_angle_beta 90.00
_cell_angle_gamma 90.00
loop_
_symmetry_equiv_pos_as_xyz
'x,y,z'
loop_
_atom_site_label
_atom_site_fract_x
_atom_site_fract_y
_atom_site_fract_z
Mg1 0.000 0.000 0.000
Mg2 0.000 0.500 0.500
Mg3 0.500 0.000 0.500
Mg4 0.500 0.500 0.000
Zr1 0.000 0.000 0.500
Zr2 0.000 0.500 0.000
Zr3 0.500 0.000 0.000
Zr4 0.500 0.500 0.500
Tc1 0.250 0.250 0.250
Tc2 0.250 0.750 0.750
Tc3 0.750 0.250 0.750
Tc4 0.750 0.750 0.250
Sb1 0.250 0.250 0.750
Sb2 0.250 0.750 0.250
Sb3 0.750 0.250 0.250
Sb4 0.750 0.750 0.750
# - energy relative to the lowest polymorph listed for this composition (eV/atom) = 0.157
# - size of the total moment (μB/f.u.) = 0.02

***

No. 6
# Ho2ErIn3Pd3, relaxed, DFT PBE
data_Ho2ErIn3Pd3
_chemical_formula_sum 'Ho2 Er1 In3 Pd3'
_symmetry_space_group_name_H-M 'P 1'
_symmetry_Int_Tables_number 1
_cell_length_a 3.806
_cell_length_b 7.693
_cell_length_c 7.693
_cell_angle_alpha 119.96
_cell_angle_beta 90.00
_cell_angle_gamma 90.00
loop_
_symmetry_equiv_pos_as_xyz
'x,y,z'
loop_
_atom_site_label
_atom_site_fract_x
_atom_site_fract_y
_atom_site_fract_z
Ho1 0.000 0.204 0.796
Ho2 0.000 0.796 0.204
Er1 0.000 0.389 0.389
In1 0.500 0.057 0.057
In2 0.500 0.535 0.796
In3 0.500 0.796 0.535
Pd1 0.000 0.796 0.796
Pd2 0.500 0.130 0.463
Pd3 0.500 0.463 0.130
# - E_tot (eV per atom) = -4.982
# - size of the total moment (μB/f.u.) = 0.02

***

The mass density results, record by record, are as follows: 7.524; 13.842; 9.471; 8.600; 7.325; 9.878 g/cm³.